First-principles (GGA+U) data for crystalline Sr2MoRuO6 at its relaxed geometry, as listed in Alexandria via LeMat-Bulk.

abc: 5.6964 5.6964 7.9584
angles: 90.00 90.00 90.00
Last column: nearest neighbours and their distance in Å.
Space group I4/mmm (No. 139)
Inequivalent atoms, fractional coordinates:
Sr 0.0000 0.5000 0.2500 x4  12 O 2.83-2.85
Mo 0.0000 0.0000 0.0000 x2  6 O 1.95-2.01
Ru 0.0000 0.0000 0.5000 x2  6 O 2.01-2.03
O 0.0000 0.0000 0.2453 x4  1 Mo 1.95, 1 Ru 2.03
O 0.2500 0.2500 0.0000 x8  1 Mo 2.01, 1 Ru 2.01

Calculated values
- crystal system = tetragonal
- E (eV per atom) = -6.9624